SCAN SrCoW2C, single point on PBEsol structure; energy relative to the elements = 24.8 eV/f.u.; DOS(E_F) = 1.259 states/eV/atom; spin magnetization = 2.03 μB/f.u.
1.0
4.2019 0.0000 0.0000
0.0000 4.7917 0.0000
0.0000 0.0000 4.7917
W C Co Sr
2 1 1 1
direct
0.0000 0.5000 0.0000
0.0000 0.0000 0.5000
0.5000 0.5000 0.5000
0.5000 0.0000 0.0000
0.0000 0.0000 0.0000